[1]
The following is a SCAN calculation of TaBe4W at its PBEsol-relaxed geometry, from Alexandria.

Computed properties:
Uncorrected energy ... -155.2 eV per cell
Symmetry ... F-43m (216)
Theoretical density ... 10.3 g cm⁻³
DOS at the Fermi energy ... 2.77 states/eV/f.u.
ΔH_f (0 K) ... -0.256 eV/atom

Structure (extended XYZ):
```
6
Lattice="0.0000 3.1897 3.1897 3.1897 0.0000 3.1897 3.1897 3.1897 0.0000" Properties=species:S:1:pos:R:3 pbc="T T T"
Ta 0.0000 0.0000 0.0000
Be 3.9809 2.3984 2.3984
Be 2.3984 3.9809 2.3984
Be 2.3984 2.3984 3.9809
Be 3.9809 3.9809 3.9809
W 1.5948 1.5948 1.5948
```

[2]
The following is a SCAN calculation of AlCd2In at its PBEsol-relaxed geometry, from Alexandria.

Computed properties:
Uncorrected energy ... -101.5 eV per cell
Symmetry ... P4/mmm (123)
Theoretical density ... 7.2 g cm⁻³
DOS at the Fermi energy ... 1.34 states/eV/f.u.
ΔH_f (0 K) ... 0.128 eV/atom

Structure (extended XYZ):
```
4
Lattice="4.3990 0.0000 0.0000 0.0000 4.3990 0.0000 0.0000 0.0000 4.3604" Properties=species:S:1:pos:R:3 pbc="T T T"
Al 0.0000 0.0000 0.0000
Cd 0.0000 2.1995 2.1802
Cd 2.1995 0.0000 2.1802
In 2.1995 2.1995 0.0000
```

[3]
The following is a SCAN calculation of NaSrPCl2 at its PBEsol-relaxed geometry, from Alexandria.

Computed properties:
Uncorrected formation energy ... -5.637 eV per formula unit
Uncorrected energy ... -58.5 eV per cell
Symmetry ... P4/mmm (123)
Theoretical density ... 1.9 g cm⁻³
DOS at the Fermi energy ... 1.64 states/eV/f.u.

Structure (extended XYZ):
```
5
Lattice="5.5455 0.0000 0.0000 0.0000 5.5455 0.0000 0.0000 0.0000 5.9705" Properties=species:S:1:pos:R:3 pbc="T T T"
Na 0.0000 0.0000 0.0000
Sr 2.7727 2.7727 2.9853
P 2.7727 2.7727 0.0000
Cl 0.0000 2.7727 2.9853
Cl 2.7727 0.0000 2.9853
```

[4]
The following is a SCAN calculation of InHO2 at its PBEsol-relaxed geometry, from Alexandria.

Computed properties:
Uncorrected energy ... -110.9 eV per cell
Symmetry ... Pnnm (58)
Theoretical density ... 6.2 g cm⁻³
DOS at the Fermi energy ... 0.00 states/eV/f.u.

Structure (extended XYZ):
```
8
Lattice="4.5251 0.0000 0.0000 0.0000 5.2885 0.0000 0.0000 0.0000 3.2860" Properties=species:S:1:pos:R:3 pbc="T T T"
In 0.0000 0.0000 0.0000
In 2.2625 2.6443 1.6430
H 0.0000 2.6443 0.0000
H 2.2625 0.0000 1.6430
O 1.0000 1.9514 0.0000
O 1.2626 4.5957 1.6430
O 3.2625 0.6928 1.6430
O 3.5251 3.3371 0.0000
```

[5]
The following is a SCAN calculation of TaCoRe3 at its PBEsol-relaxed geometry, from Alexandria.

Computed properties:
Uncorrected energy ... -284.1 eV per cell
Symmetry ... Pm-3m (221)
Theoretical density ... 13.1 g cm⁻³
DOS at the Fermi energy ... 6.69 states/eV/f.u.
ΔH_f (0 K) ... 2.606 eV/atom

Structure (extended XYZ):
```
5
Lattice="4.6565 0.0000 0.0000 0.0000 4.6565 0.0000 0.0000 0.0000 4.6565" Properties=species:S:1:pos:R:3 pbc="T T T"
Ta 0.0000 0.0000 0.0000
Co 2.3283 2.3283 2.3283
Re 0.0000 0.0000 2.3283
Re 0.0000 2.3283 0.0000
Re 2.3283 0.0000 0.0000
```

[6]
The following is a SCAN calculation of KTaTi2Cl at its PBEsol-relaxed geometry, from Alexandria.

Computed properties:
Uncorrected formation energy ... 4.591 eV per formula unit
Uncorrected energy ... -110.4 eV per cell
Symmetry ... P4/mmm (123)
Theoretical density ... 5.8 g cm⁻³
DOS at the Fermi energy ... 3.57 states/eV/f.u.

Structure (extended XYZ):
```
5
Lattice="4.6510 0.0000 0.0000 0.0000 4.6510 0.0000 0.0000 0.0000 4.6561" Properties=species:S:1:pos:R:3 pbc="T T T"
K 0.0000 0.0000 0.0000
Ta 2.3255 2.3255 0.0000
Ti 0.0000 2.3255 2.3280
Ti 2.3255 0.0000 2.3280
Cl 2.3255 2.3255 2.3280
```